10
Lattice="-2.1817 -5.5855 1.9480 -0.9142 -1.7329 -5.9928 2.4314 -5.2635 -2.1656" Properties=species:S:1:pos:R:3 comment="Rb2CaCrF6 | Alexandria via LeMat-Bulk | GGA+U | relaxed" magmom_total_mub_per_cell=4.0 sg="No. 139" dft_energy_ev_per_cell=-53.4 dos_ef_per_ev_atom=0.000 pbc="T T T"
Cr 0.0000 0.0000 0.0000
F -0.7668 -1.8125 -1.0018
F -1.2214 -8.0741 -4.1123
F 0.5569 -4.5078 -2.0982
F -1.8678 -4.6314 -0.0187
F -1.2282 -2.6871 -4.0262
F -2.3292 -5.5059 -3.0431
Ca -1.5480 -3.6592 -2.0224
Rb -0.6492 -7.2541 -1.1201
Rb -0.0154 -5.3278 -5.0904